Entry 1:
LiCaCd2Au2 after structural relaxation, computed with GGA-PBE.

Cell lengths 4.3517, 4.3517, 16.5164 Å; angles 90.00, 90.00, 90.00 degrees
Atoms (fractional coordinates):
Li: 0.0000 0.0000 0.0000
Li: 0.5000 0.5000 0.5000
Ca: 0.0000 0.0000 0.5000
Ca: 0.5000 0.5000 0.0000
Cd: 0.0000 0.5000 0.2500
Cd: 0.0000 0.5000 0.7500
Cd: 0.5000 0.0000 0.2500
Cd: 0.5000 0.0000 0.7500
Au: 0.0000 0.0000 0.1393
Au: 0.0000 0.0000 0.8607
Au: 0.5000 0.5000 0.3607
Au: 0.5000 0.5000 0.6393

Summary:
Space group: I4/mmm
Density, g/cm3: 7.1
Calculated formation energy, meV/atom: -76
Total moment, μB per cell: 0.00


Entry 2:
CaLuCdAu after structural relaxation, computed with GGA-PBE.

Cell lengths 7.2805, 7.2805, 7.2805 Å; angles 90.00, 90.00, 90.00 degrees
Atoms (fractional coordinates):
Ca: 0.0000 0.0000 0.0000
Ca: 0.0000 0.5000 0.5000
Ca: 0.5000 0.0000 0.5000
Ca: 0.5000 0.5000 0.0000
Lu: 0.0000 0.0000 0.5000
Lu: 0.0000 0.5000 0.0000
Lu: 0.5000 0.0000 0.0000
Lu: 0.5000 0.5000 0.5000
Cd: 0.2500 0.2500 0.7500
Cd: 0.2500 0.7500 0.2500
Cd: 0.7500 0.2500 0.2500
Cd: 0.7500 0.7500 0.7500
Au: 0.2500 0.2500 0.2500
Au: 0.2500 0.7500 0.7500
Au: 0.7500 0.2500 0.7500
Au: 0.7500 0.7500 0.2500

Summary:
Space group: F-43m
Density, g/cm3: 9.0
Calculated formation energy, meV/atom: -535
Total moment, μB per cell: 0.00